a) ## ScSiOs3 (PBE)

Data for a relaxed ScSiOs3 crystal.

Structure (extended XYZ):
```
5
Lattice="4.405 0.000 0.000 0.000 4.405 0.000 0.000 0.000 4.405" Properties=species:S:1:pos:R:3 pbc="T T T"
Sc 2.202 2.202 2.202
Si 0.000 0.000 0.000
Os 0.000 2.202 0.000
Os 0.000 0.000 2.202
Os 2.202 0.000 0.000
```

Results
- calculated volume (Å³/f.u.) = 85.5
- N(E_F) (states/eV/f.u.) = 5.35

=====

b) ## ScSiOs3 (PBE)

Data for a relaxed ScSiOs3 crystal.

Structure (extended XYZ):
```
5
Lattice="-1.091 3.011 -3.337 -4.207 0.525 1.849 1.583 3.472 2.615" Properties=species:S:1:pos:R:3 pbc="T T T"
Sc 0.000 0.000 0.000
Si -1.857 3.504 0.564
Os -2.103 0.263 0.925
Os 0.792 1.736 1.307
Os -0.545 1.506 -1.669
```

Results
- calculated volume (Å³/f.u.) = 99.0
- N(E_F) (states/eV/f.u.) = 6.83

=====

Short version: a) is the most stable of them.

=====

a) ## Sc3SnOs (PBE)

Data for a relaxed Sc3SnOs crystal.

Structure (extended XYZ):
```
5
Lattice="5.158 0.000 0.000 0.000 5.158 0.000 0.000 0.000 5.158" Properties=species:S:1:pos:R:3 pbc="T T T"
Sc 0.000 2.579 0.000
Sc 0.000 0.000 2.579
Sc 2.579 0.000 0.000
Os 2.579 2.579 2.579
Sn 0.000 0.000 0.000
```

Results
- calculated volume (Å³/f.u.) = 137.3
- N(E_F) (states/eV/f.u.) = 7.90

=====

b) ## Sc3SnOs (PBE)

Data for a relaxed Sc3SnOs crystal.

Structure (extended XYZ):
```
5
Lattice="-1.081 -4.872 0.366 4.518 -1.140 -1.825 1.861 -0.063 4.645" Properties=species:S:1:pos:R:3 pbc="T T T"
Sc 2.259 -0.570 -0.913
Sc 0.930 -0.032 2.322
Sc -0.541 -2.436 0.183
Os 0.000 0.000 0.000
Sn 2.648 -3.038 1.593
```

Results
- calculated volume (Å³/f.u.) = 125.3
- N(E_F) (states/eV/f.u.) = 2.82

=====

Short version: b) is the most stable of them.

=====

a) ## Sr2ScOs (PBE)

Data for a relaxed Sr2ScOs crystal.

Structure (extended XYZ):
```
4
Lattice="4.922 0.000 0.000 0.000 3.742 0.014 0.000 2.500 5.978" Properties=species:S:1:pos:R:3 pbc="T T T"
Os 2.461 1.561 1.498
Sc 2.461 4.682 4.494
Sr 0.000 0.365 0.160
Sr 0.000 2.756 2.836
```

Results
- calculated volume (Å³/f.u.) = 109.9
- N(E_F) (states/eV/f.u.) = 3.74

=====

b) ## Sr2ScOs (PBE)

Data for a relaxed Sr2ScOs crystal.

Structure (extended XYZ):
```
4
Lattice="-5.711 0.871 3.277 -4.515 -4.859 -0.329 6.118 1.845 1.810" Properties=species:S:1:pos:R:3 pbc="T T T"
Os -4.851 -1.892 1.398
Sc -2.532 -2.808 1.701
Sr -0.052 -0.020 0.015
Sr -1.786 0.582 3.117
```

Results
- calculated volume (Å³/f.u.) = 122.2
- N(E_F) (states/eV/f.u.) = 2.57

=====

c) ## Sr2ScOs (PBE)

Data for a relaxed Sr2ScOs crystal.

Structure (extended XYZ):
```
4
Lattice="3.727 0.000 0.000 0.000 4.468 0.000 0.000 0.000 6.581" Properties=species:S:1:pos:R:3 pbc="T T T"
Os 1.864 2.234 1.645
Sc 1.864 2.234 4.936
Sr 0.000 0.000 0.183
Sr 0.000 0.000 3.107
```

Results
- calculated volume (Å³/f.u.) = 109.6
- N(E_F) (states/eV/f.u.) = 4.96

=====

d) ## Sr2ScOs (PBE)

Data for a relaxed Sr2ScOs crystal.

Structure (extended XYZ):
```
4
Lattice="-1.312 5.002 -3.202 -5.504 2.462 0.801 4.552 -1.935 3.540" Properties=species:S:1:pos:R:3 pbc="T T T"
Os -2.180 2.130 1.570
Sc -0.084 3.400 -0.431
Sr 0.000 0.000 0.000
Sr -3.408 3.732 -1.201
```

Results
- calculated volume (Å³/f.u.) = 104.0
- N(E_F) (states/eV/f.u.) = 4.13

=====

Short version: b) is the most stable of them.

=====

a) ## SrSc2TiOs (PBE)

Data for a relaxed SrSc2TiOs crystal.

Structure (extended XYZ):
```
5
Lattice="4.796 0.000 0.000 0.000 5.339 0.000 0.000 0.000 4.796" Properties=species:S:1:pos:R:3 pbc="T T T"
Sc 0.000 0.000 2.398
Sc 2.398 0.000 0.000
Sr 0.000 2.669 0.000
Os 2.398 2.669 2.398
Ti 0.000 0.000 0.000
```

Results
- calculated volume (Å³/f.u.) = 122.8
- N(E_F) (states/eV/f.u.) = 7.06

=====

b) ## SrSc2TiOs (PBE)

Data for a relaxed SrSc2TiOs crystal.

Structure (extended XYZ):
```
5
Lattice="4.943 0.000 0.000 0.000 4.799 0.000 0.000 0.000 4.943" Properties=species:S:1:pos:R:3 pbc="T T T"
Sc 0.000 0.000 2.471
Sc 2.471 0.000 0.000
Sr 0.000 0.000 0.000
Os 0.000 2.399 0.000
Ti 2.471 2.399 2.471
```

Results
- calculated volume (Å³/f.u.) = 117.2
- N(E_F) (states/eV/f.u.) = 7.87

=====

Short version: a) is the most stable of them.

=====

a) ## ScTa3Os (PBE)

Data for a relaxed ScTa3Os crystal.

Structure (extended XYZ):
```
5
Lattice="4.880 0.000 0.000 0.000 4.880 0.000 0.000 0.000 4.880" Properties=species:S:1:pos:R:3 pbc="T T T"
Sc 2.440 2.440 2.440
Os 0.000 0.000 0.000
Ta 0.000 2.440 0.000
Ta 0.000 0.000 2.440
Ta 2.440 0.000 0.000
```

Results
- calculated volume (Å³/f.u.) = 116.2
- N(E_F) (states/eV/f.u.) = 4.20

=====

b) ## ScTa3Os (PBE)

Data for a relaxed ScTa3Os crystal.

Structure (extended XYZ):
```
5
Lattice="4.610 0.000 0.000 0.000 4.610 0.000 0.000 0.000 4.610" Properties=species:S:1:pos:R:3 pbc="T T T"
Sc 0.000 0.000 0.000
Os 2.305 2.305 2.305
Ta 0.000 2.305 0.000
Ta 0.000 0.000 2.305
Ta 2.305 0.000 0.000
```

Results
- calculated volume (Å³/f.u.) = 98.0
- N(E_F) (states/eV/f.u.) = 6.86

=====

Short version: a) is the most stable of them.

=====

a) ## Sc2Ta2Os (PBE)

Data for a relaxed Sc2Ta2Os crystal.

Structure (extended XYZ):
```
10
Lattice="-2.364 4.276 -4.392 -1.485 -4.967 -4.035 -4.319 -0.333 2.000" Properties=species:S:1:pos:R:3 pbc="T T T"
Sc -3.537 -2.764 -2.408
Sc -4.972 -1.471 -5.290
Sc -4.631 1.739 -4.020
Sc -3.197 0.447 -1.137
Os 0.000 0.000 0.000
Os -1.925 -0.346 -4.214
Ta -2.104 -2.728 -4.998
Ta -2.978 0.439 -6.358
Ta -1.746 2.037 -3.430
Ta -0.871 -1.130 -2.070
```

Results
- calculated volume (Å³/f.u.) = 103.0
- N(E_F) (states/eV/f.u.) = 4.63

=====

b) ## Sc2Ta2Os (PBE)

Data for a relaxed Sc2Ta2Os crystal.

Structure (extended XYZ):
```
5
Lattice="-1.770 1.770 8.569 1.770 -1.770 8.569 1.770 1.770 -8.569" Properties=species:S:1:pos:R:3 pbc="T T T"
Sc 0.000 0.000 10.038
Sc 0.000 0.000 7.100
Ta 1.770 0.000 4.285
Ta 0.000 1.770 4.285
Os 0.000 0.000 0.000
```

Results
- calculated volume (Å³/f.u.) = 107.4
- N(E_F) (states/eV/f.u.) = 3.74

=====

Short version: a) is the most stable of them.

=====

a) ## TbScTlOs (PBE)

Data for a relaxed TbScTlOs crystal.

Structure (extended XYZ):
```
4
Lattice="-4.021 -1.880 -2.185 0.346 -4.156 -2.661 -2.002 -4.194 1.693" Properties=species:S:1:pos:R:3 pbc="T T T"
Sc 0.000 0.000 0.000
Tb -2.839 -5.115 -1.576
Tl -1.419 -2.558 -0.788
Os -4.258 -7.673 -2.364
```

Results
- calculated volume (Å³/f.u.) = 85.6
- N(E_F) (states/eV/f.u.) = 3.37

=====

b) ## TbScTlOs (PBE)

Data for a relaxed TbScTlOs crystal.

Structure (extended XYZ):
```
4
Lattice="3.322 0.000 0.000 0.000 3.322 0.000 0.000 0.000 8.062" Properties=species:S:1:pos:R:3 pbc="T T T"
Tb 1.661 1.661 6.224
Sc 1.661 1.661 2.987
Tl 0.000 0.000 0.730
Os 0.000 0.000 4.447
```

Results
- calculated volume (Å³/f.u.) = 89.0
- N(E_F) (states/eV/f.u.) = 1.98

=====

Short version: b) is the most stable of them.

=====

a) ## ScTcOs (PBE)

Data for a relaxed ScTcOs crystal.

Structure (extended XYZ):
```
3
Lattice="-3.586 2.005 -1.557 3.027 -1.557 -2.778 -1.361 -2.499 -0.083" Properties=species:S:1:pos:R:3 pbc="T T T"
Os -1.340 -2.460 -0.082
Sc -1.843 -0.029 -1.992
Tc -0.098 -2.059 -2.427
```

Results
- calculated volume (Å³/f.u.) = 47.6
- N(E_F) (states/eV/f.u.) = 2.19

=====

b) ## ScTcOs (PBE)

Data for a relaxed ScTcOs crystal.

Structure (extended XYZ):
```
3
Lattice="-1.956 1.187 3.649 -4.184 -0.846 0.574 -1.222 -2.982 2.857" Properties=species:S:1:pos:R:3 pbc="T T T"
Os -5.521 -1.980 5.310
Sc 0.000 0.000 0.000
Tc -3.680 -1.320 3.540
```

Results
- calculated volume (Å³/f.u.) = 56.5
- N(E_F) (states/eV/f.u.) = 3.35

=====

Short version: a) is the most stable of them.